*a*
First-principles (PBE-GGA) data for an optimized crystal structure of NdPaAs2, as listed in Alexandria via LeMat-Bulk.

a b c (Å): 3.9136 5.4541 10.3173
angles (deg): 90.00 90.00 90.00
With the nearest neighbours (Å) after each atom.
Space group Pmmn (No. 59, origin choice 2)
One atom of each set of equivalent atoms:
Nd 0.2500 0.2500 0.1216 x2  2 As 2.92-3.00
Pa 0.2500 0.7500 0.3873 x2  6 As 2.73-2.99
As 0.2500 0.2500 0.4046 x2  4 Pa 2.73-2.90, 1 Nd 2.92
As 0.2500 0.2500 0.8312 x2  2 Pa 2.99, 1 Nd 3.00

*b*
First-principles (PBE-GGA) data for an optimized crystal structure of NdPaAs2, as listed in Alexandria via LeMat-Bulk.

a b c (Å): 4.2170 4.2170 25.9527
angles (deg): 90.00 90.00 120.00
With the nearest neighbours (Å) after each atom.
Space group R-3m (No. 166, hexagonal axes)
One atom of each set of equivalent atoms:
Nd 0.0000 0.0000 0.0000 x3  2 As 2.87
Pa 0.0000 0.0000 0.5000 x3  6 As 2.84
As 0.0000 0.0000 0.1105 x6  3 Pa 2.84, 1 Nd 2.87

*c*
First-principles (PBE-GGA) data for an optimized crystal structure of NdPaAs2, as listed in Alexandria via LeMat-Bulk.

a b c (Å): 4.1105 4.1105 21.4850
angles (deg): 90.00 90.00 120.00
With the nearest neighbours (Å) after each atom.
Space group R3m (No. 160, hexagonal axes)
One atom of each set of equivalent atoms:
Nd 0.0000 0.0000 0.0000 x3  6 As 2.97-3.13
Pa 0.0000 0.0000 0.1762 x3  6 As 2.86-2.94
As 0.0000 0.0000 0.5838 x3  3 Pa 2.86, 3 Nd 2.97
As 0.0000 0.0000 0.7619 x3  3 Pa 2.94, 3 Nd 3.13

How do the energies compare? Relative to the most stable structure, in kJ/mol of atoms: *a* 25.9; *b* 61.3; *c* 0.0.

*a*
First-principles (PBE-GGA) data for an optimized crystal structure of Nd2PaAs3, as listed in Alexandria via LeMat-Bulk.

a b c (Å): 4.2068 5.9287 12.6271
angles (deg): 90.00 90.00 90.00
With the nearest neighbours (Å) after each atom.
Space group Immm (No. 71)
One atom of each set of equivalent atoms:
Nd 0.0000 0.0000 0.1688 x4  6 As 2.97-3.04
Pa 0.0000 0.0000 0.5000 x2  6 As 2.89-2.96
As 0.0000 0.5000 0.1570 x4  2 Pa 2.89, 4 Nd 2.97-3.04
As 0.0000 0.5000 0.5000 x2  2 Pa 2.96, 4 Nd 2.99

*b*
First-principles (PBE-GGA) data for an optimized crystal structure of Nd2PaAs3, as listed in Alexandria via LeMat-Bulk.

a b c (Å): 8.4177 11.8920 25.2101
angles (deg): 90.00 90.00 90.00
With the nearest neighbours (Å) after each atom.
Space group Fddd (No. 70, origin choice 2)
One atom of each set of equivalent atoms:
Nd 0.1250 0.1250 0.0429 x16  6 As 2.99-3.05
Nd 0.1250 0.1250 0.3734 x16  6 As 2.98-3.03
Pa 0.1250 0.1250 0.5415 x16  6 As 2.89-2.90
As 0.1124 0.3750 0.8750 x16  2 Pa 2.90, 4 Nd 2.98-3.03
As 0.1186 0.3687 0.7108 x32  2 Pa 2.89-2.90, 4 Nd 2.99-3.05

How do the energies compare? Relative to the most stable structure, in kJ/mol of atoms: *a* 0.6; *b* 0.0.